! ZnNiPt, optimized geometry, DFT GGA-PBE; values from VASP
! - VASP energy: -55.9 eV for the cell shown
! - SG: No. 8
! - DFT formation energy: -0.30 eV per atom
&SYSTEM
  ibrav = 0, nat = 12, ntyp = 3
/
ATOMIC_SPECIES
Pt 195.08 Pt.upf
Ni 58.69 Ni.upf
Zn 65.41 Zn.upf
CELL_PARAMETERS angstrom
-1.048 -4.828 1.985
3.433 -0.059 1.667
-2.595 5.713 5.548
ATOMIC_POSITIONS crystal
Pt 0.508 0.000 0.342
Pt 0.508 0.500 0.842
Pt 0.148 0.500 0.166
Pt 0.148 0.000 0.666
Ni 0.324 0.000 0.999
Ni 0.010 0.000 0.338
Ni 0.324 0.500 0.499
Ni 0.010 0.500 0.838
Zn 0.839 0.500 0.501
Zn 0.839 0.000 0.001
Zn 0.655 0.000 0.670
Zn 0.655 0.500 0.170